Record 1
# Li3SiIr

A relaxed structure of Li3SiIr (PBE, Alexandria via LeMat-Bulk). Values from VASP.

Geometry as Quantum ESPRESSO input:
```
&SYSTEM
  ibrav = 0, nat = 5, ntyp = 3
/
ATOMIC_SPECIES
Li 6.94 Li.upf
Si 28.09 Si.upf
Ir 192.22 Ir.upf
CELL_PARAMETERS angstrom
4.3692 0.0000 0.0000
0.0000 4.3692 0.0000
0.0000 0.0000 4.3692
ATOMIC_POSITIONS angstrom
Li 0.0000 0.0000 2.1846
Li 0.0000 2.1846 0.0000
Li 2.1846 0.0000 0.0000
Si 0.0000 0.0000 0.0000
Ir 2.1846 2.1846 2.1846
```

Results
E_tot in eV for the cell shown: -15.65
Calculated volume in Å³ per atom: 16.681
Space group: No. 221
Formation energy without anion corrections in eV/atom: 0.8741
Total magnetization in μB/cell: 0.00

---

Record 2
# Li2SiIr

A relaxed structure of Li2SiIr (PBE, Alexandria via LeMat-Bulk). Values from VASP.

Geometry as Quantum ESPRESSO input:
```
&SYSTEM
  ibrav = 0, nat = 4, ntyp = 3
/
ATOMIC_SPECIES
Li 6.94 Li.upf
Si 28.09 Si.upf
Ir 192.22 Ir.upf
CELL_PARAMETERS angstrom
-1.7632 1.7632 4.2322
1.7632 -1.7632 4.2322
1.7632 1.7632 -4.2322
ATOMIC_POSITIONS angstrom
Li 1.7632 0.0000 2.1161
Li 0.0000 1.7632 2.1161
Si 0.0000 0.0000 0.0000
Ir 0.0000 0.0000 4.2322
```

Results
E_tot in eV for the cell shown: -19.51
Calculated volume in Å³ per atom: 13.157
Space group: No. 139
Formation energy without anion corrections in eV/atom: -0.3492
Total magnetization in μB/cell: 0.00

---

Record 3
# Li2SiIr

A relaxed structure of Li2SiIr (PBE, Alexandria via LeMat-Bulk). Values from VASP.

Geometry as Quantum ESPRESSO input:
```
&SYSTEM
  ibrav = 0, nat = 8, ntyp = 3
/
ATOMIC_SPECIES
Li 6.94 Li.upf
Si 28.09 Si.upf
Ir 192.22 Ir.upf
CELL_PARAMETERS angstrom
-1.7533 1.7533 9.3763
1.7533 -1.7533 9.3763
1.7533 1.7533 -9.3763
ATOMIC_POSITIONS angstrom
Li 2.6299 0.8611 -2.3441
Li 0.8611 0.8766 2.3441
Li -0.8766 0.8922 7.0322
Li 0.8922 0.8766 11.7203
Si 1.7533 0.0000 4.6881
Si 0.0000 0.0000 9.3763
Ir 0.0000 0.0000 0.0000
Ir 0.0000 1.7533 4.6881
```

Results
E_tot in eV for the cell shown: -37.12
Calculated volume in Å³ per atom: 14.411
Space group: No. 122
Formation energy without anion corrections in eV/atom: -0.1124
Total magnetization in μB/cell: 0.00

---

Record 4
# Li2SiIr

A relaxed structure of Li2SiIr (PBE, Alexandria via LeMat-Bulk). Values from VASP.

Geometry as Quantum ESPRESSO input:
```
&SYSTEM
  ibrav = 0, nat = 4, ntyp = 3
/
ATOMIC_SPECIES
Li 6.94 Li.upf
Si 28.09 Si.upf
Ir 192.22 Ir.upf
CELL_PARAMETERS angstrom
3.5385 0.0000 0.0000
0.0000 3.5385 0.0000
0.0000 0.0000 4.1934
ATOMIC_POSITIONS angstrom
Li 0.0000 1.7692 0.0000
Li 1.7692 0.0000 0.0000
Si 0.0000 0.0000 2.0967
Ir 1.7692 1.7692 2.0967
```

Results
E_tot in eV for the cell shown: -19.53
Calculated volume in Å³ per atom: 13.126
Space group: No. 123
Formation energy without anion corrections in eV/atom: -0.3540
Total magnetization in μB/cell: 0.00

---

Record 5
# LiSi2Ir

A relaxed structure of LiSi2Ir (PBE, Alexandria via LeMat-Bulk). Values from VASP.

Geometry as Quantum ESPRESSO input:
```
&SYSTEM
  ibrav = 0, nat = 4, ntyp = 3
/
ATOMIC_SPECIES
Li 6.94 Li.upf
Si 28.09 Si.upf
Ir 192.22 Ir.upf
CELL_PARAMETERS angstrom
0.0000 2.5989 3.7767
2.5910 0.0000 3.7767
2.5910 2.5989 0.0000
ATOMIC_POSITIONS angstrom
Li 0.0000 0.0000 0.0000
Si 2.5910 2.5989 3.7767
Si 3.8865 3.8983 5.6650
Ir 1.2955 1.2994 1.8883
```

Results
E_tot in eV for the cell shown: -22.75
Calculated volume in Å³ per atom: 12.716
Space group: No. 22
Formation energy without anion corrections in eV/atom: -0.2822
Total magnetization in μB/cell: 0.00

---

Record 6
# LiSi2Ir

A relaxed structure of LiSi2Ir (PBE, Alexandria via LeMat-Bulk). Values from VASP.

Geometry as Quantum ESPRESSO input:
```
&SYSTEM
  ibrav = 0, nat = 4, ntyp = 3
/
ATOMIC_SPECIES
Li 6.94 Li.upf
Si 28.09 Si.upf
Ir 192.22 Ir.upf
CELL_PARAMETERS angstrom
2.8884 0.0000 0.0000
0.0000 4.1036 0.0000
-0.0078 0.0000 4.9210
ATOMIC_POSITIONS angstrom
Li 0.0000 0.0000 0.0000
Si 1.4421 2.0518 1.2018
Si 1.4385 2.0518 3.7192
Ir 1.4403 0.0000 2.4605
```

Results
E_tot in eV for the cell shown: -22.73
Calculated volume in Å³ per atom: 14.582
Space group: No. 10
Formation energy without anion corrections in eV/atom: -0.2768
Total magnetization in μB/cell: 0.00

---

Record 7
# LiSi2Ir

A relaxed structure of LiSi2Ir (PBE, Alexandria via LeMat-Bulk). Values from VASP.

Geometry as Quantum ESPRESSO input:
```
&SYSTEM
  ibrav = 0, nat = 4, ntyp = 3
/
ATOMIC_SPECIES
Li 6.94 Li.upf
Si 28.09 Si.upf
Ir 192.22 Ir.upf
CELL_PARAMETERS angstrom
0.0000 2.9617 2.9617
2.9617 0.0000 2.9617
2.9617 2.9617 0.0000
ATOMIC_POSITIONS angstrom
Li 0.0000 0.0000 0.0000
Si 1.4809 1.4809 1.4809
Si 4.4426 4.4426 4.4426
Ir 2.9617 2.9617 2.9617
```

Results
E_tot in eV for the cell shown: -23.42
Calculated volume in Å³ per atom: 12.990
Space group: No. 225
Formation energy without anion corrections in eV/atom: -0.4490
Total magnetization in μB/cell: 0.00

---

Record 8
# LiSi2Ir

A relaxed structure of LiSi2Ir (PBE, Alexandria via LeMat-Bulk). Values from VASP.

Geometry as Quantum ESPRESSO input:
```
&SYSTEM
  ibrav = 0, nat = 32, ntyp = 3
/
ATOMIC_SPECIES
Li 6.94 Li.upf
Si 28.09 Si.upf
Ir 192.22 Ir.upf
CELL_PARAMETERS angstrom
14.7029 0.0000 0.0000
0.0000 6.5227 0.0000
0.0000 0.0000 4.9739
ATOMIC_POSITIONS angstrom
Li 1.5054 1.6307 1.1040
Li 2.1864 4.8920 2.3555
Li 5.1651 1.6307 4.8425
Li 5.8461 4.8920 3.5910
Li 8.8568 1.6307 1.3829
Li 9.5378 4.8920 0.1314
Li 12.5165 1.6307 2.6183
Li 13.1976 4.8920 3.8698
Si 0.4936 0.3155 3.5837
Si 0.4936 2.9458 3.5837
Si 3.0562 3.5894 4.8228
Si 3.0562 6.1946 4.8228
Si 4.2952 0.3281 2.3358
Si 4.2952 2.9333 2.3358
Si 6.8578 3.5769 1.0968
Si 6.8578 6.2072 1.0968
Si 7.8451 0.3155 3.8771
Si 7.8451 2.9458 3.8771
Si 10.4077 3.5894 2.6380
Si 10.4077 6.1946 2.6380
Si 11.6467 0.3281 0.1511
Si 11.6467 2.9333 0.1511
Si 14.2093 3.5769 1.3901
Si 14.2093 6.2072 1.3901
Ir 1.0406 4.8920 4.9399
Ir 2.6093 1.6307 3.5215
Ir 4.7421 4.8920 1.0346
Ir 6.3109 1.6307 2.4530
Ir 8.3920 4.8920 2.5209
Ir 9.9608 1.6307 3.9393
Ir 12.0936 4.8920 1.4524
Ir 13.6623 1.6307 0.0340
```

Results
E_tot in eV for the cell shown: -188.51
Calculated volume in Å³ per atom: 14.907
Space group: No. 62
Formation energy without anion corrections in eV/atom: -0.4856
Total magnetization in μB/cell: 0.00